Entry w
First-principles (PBE) data for an optimized crystal structure of FeSiNiAg, as listed in the Open Quantum Materials Database.

Cell and atoms, written as extended XYZ:
```
16
Lattice="5.909 0.000 0.000 0.000 5.909 0.000 0.000 0.000 5.909" Properties=species:S:1:pos:R:3 pbc="T T T"
Fe 0.000 0.000 0.000
Fe 0.000 2.954 2.954
Fe 2.954 0.000 2.954
Fe 2.954 2.954 0.000
Si 1.477 1.477 4.432
Si 1.477 4.432 1.477
Si 4.432 1.477 1.477
Si 4.432 4.432 4.432
Ni 0.000 0.000 2.954
Ni 0.000 2.954 0.000
Ni 2.954 0.000 0.000
Ni 2.954 2.954 2.954
Ag 1.477 1.477 1.477
Ag 1.477 4.432 4.432
Ag 4.432 1.477 4.432
Ag 4.432 4.432 1.477
```

Summary:
Symmetry ... F-43m

***

Entry x
First-principles (PBE) data for an optimized crystal structure of FeSiNiAg, as listed in the Open Quantum Materials Database.

Cell and atoms, written as extended XYZ:
```
16
Lattice="5.930 0.000 0.000 0.000 5.930 0.000 0.000 0.000 5.930" Properties=species:S:1:pos:R:3 pbc="T T T"
Fe 0.000 0.000 0.000
Fe 0.000 2.965 2.965
Fe 2.965 0.000 2.965
Fe 2.965 2.965 0.000
Si 1.482 1.482 4.447
Si 1.482 4.447 1.482
Si 4.447 1.482 1.482
Si 4.447 4.447 4.447
Ni 1.482 1.482 1.482
Ni 1.482 4.447 4.447
Ni 4.447 1.482 4.447
Ni 4.447 4.447 1.482
Ag 0.000 0.000 2.965
Ag 0.000 2.965 0.000
Ag 2.965 0.000 0.000
Ag 2.965 2.965 2.965
```

Summary:
Symmetry ... F-43m

***

Ranked by calculated energy, most stable first: entry w, entry x.

***

Entry w
First-principles (PBE) data for an optimized crystal structure of PaFeAg, as listed in the Open Quantum Materials Database.

Cell and atoms, written as extended XYZ:
```
12
Lattice="6.450 0.000 0.000 0.000 6.450 0.000 0.000 0.000 6.450" Properties=species:S:1:pos:R:3 pbc="T T T"
Pa 0.000 0.000 0.000
Pa 0.000 3.225 3.225
Pa 3.225 0.000 3.225
Pa 3.225 3.225 0.000
Fe 1.612 1.612 1.612
Fe 1.612 4.837 4.837
Fe 4.837 1.612 4.837
Fe 4.837 4.837 1.612
Ag 1.612 1.612 4.837
Ag 1.612 4.837 1.612
Ag 4.837 1.612 1.612
Ag 4.837 4.837 4.837
```

Summary:
Symmetry ... F-43m

***

Entry x
First-principles (PBE) data for an optimized crystal structure of PaFeAg, as listed in the Open Quantum Materials Database.

Cell and atoms, written as extended XYZ:
```
12
Lattice="6.237 0.000 0.000 0.000 6.237 0.000 0.000 0.000 6.237" Properties=species:S:1:pos:R:3 pbc="T T T"
Pa 0.000 0.000 0.000
Pa 0.000 3.119 3.119
Pa 3.119 0.000 3.119
Pa 3.119 3.119 0.000
Fe 1.559 1.559 1.559
Fe 1.559 4.678 4.678
Fe 4.678 1.559 4.678
Fe 4.678 4.678 1.559
Ag 0.000 0.000 3.119
Ag 0.000 3.119 0.000
Ag 3.119 0.000 0.000
Ag 3.119 3.119 3.119
```

Summary:
Symmetry ... F-43m

***

Ranked by calculated energy, most stable first: entry x, entry w.

***

Entry w
First-principles (PBE) data for an optimized crystal structure of TaFeAgPb, as listed in the Open Quantum Materials Database.

Cell and atoms, written as extended XYZ:
```
16
Lattice="6.536 0.000 0.000 0.000 6.536 0.000 0.000 0.000 6.536" Properties=species:S:1:pos:R:3 pbc="T T T"
Ta 0.000 0.000 0.000
Ta 0.000 3.268 3.268
Ta 3.268 0.000 3.268
Ta 3.268 3.268 0.000
Fe 0.000 0.000 3.268
Fe 0.000 3.268 0.000
Fe 3.268 0.000 0.000
Fe 3.268 3.268 3.268
Ag 1.634 1.634 4.902
Ag 1.634 4.902 1.634
Ag 4.902 1.634 1.634
Ag 4.902 4.902 4.902
Pb 1.634 1.634 1.634
Pb 1.634 4.902 4.902
Pb 4.902 1.634 4.902
Pb 4.902 4.902 1.634
```

Summary:
Symmetry ... F-43m

***

Entry x
First-principles (PBE) data for an optimized crystal structure of TaFeAgPb, as listed in the Open Quantum Materials Database.

Cell and atoms, written as extended XYZ:
```
16
Lattice="6.525 0.000 0.000 0.000 6.525 0.000 0.000 0.000 6.525" Properties=species:S:1:pos:R:3 pbc="T T T"
Ta 0.000 0.000 0.000
Ta 0.000 3.262 3.262
Ta 3.262 0.000 3.262
Ta 3.262 3.262 0.000
Fe 1.631 1.631 4.894
Fe 1.631 4.894 1.631
Fe 4.894 1.631 1.631
Fe 4.894 4.894 4.894
Ag 1.631 1.631 1.631
Ag 1.631 4.894 4.894
Ag 4.894 1.631 4.894
Ag 4.894 4.894 1.631
Pb 0.000 0.000 3.262
Pb 0.000 3.262 0.000
Pb 3.262 0.000 0.000
Pb 3.262 3.262 3.262
```

Summary:
Symmetry ... F-43m

***

Ranked by calculated energy, most stable first: entry x, entry w.

***

Entry w
First-principles (PBE) data for an optimized crystal structure of ScFeAgSb, as listed in the Open Quantum Materials Database.

Cell and atoms, written as extended XYZ:
```
16
Lattice="6.531 0.000 0.000 0.000 6.531 0.000 0.000 0.000 6.531" Properties=species:S:1:pos:R:3 pbc="T T T"
Sc 0.000 0.000 0.000
Sc 0.000 3.265 3.265
Sc 3.265 0.000 3.265
Sc 3.265 3.265 0.000
Fe 0.000 0.000 3.265
Fe 0.000 3.265 0.000
Fe 3.265 0.000 0.000
Fe 3.265 3.265 3.265
Ag 1.633 1.633 4.898
Ag 1.633 4.898 1.633
Ag 4.898 1.633 1.633
Ag 4.898 4.898 4.898
Sb 1.633 1.633 1.633
Sb 1.633 4.898 4.898
Sb 4.898 1.633 4.898
Sb 4.898 4.898 1.633
```

Summary:
Symmetry ... F-43m

***

Entry x
First-principles (PBE) data for an optimized crystal structure of ScFeAgSb, as listed in the Open Quantum Materials Database.

Cell and atoms, written as extended XYZ:
```
16
Lattice="6.586 0.000 0.000 0.000 6.586 0.000 0.000 0.000 6.586" Properties=species:S:1:pos:R:3 pbc="T T T"
Sc 0.000 0.000 0.000
Sc 0.000 3.293 3.293
Sc 3.293 0.000 3.293
Sc 3.293 3.293 0.000
Fe 1.647 1.647 4.940
Fe 1.647 4.940 1.647
Fe 4.940 1.647 1.647
Fe 4.940 4.940 4.940
Ag 1.647 1.647 1.647
Ag 1.647 4.940 4.940
Ag 4.940 1.647 4.940
Ag 4.940 4.940 1.647
Sb 0.000 0.000 3.293
Sb 0.000 3.293 0.000
Sb 3.293 0.000 0.000
Sb 3.293 3.293 3.293
```

Summary:
Symmetry ... F-43m

***

Ranked by calculated energy, most stable first: entry w, entry x.

***

Entry w
First-principles (PBE) data for an optimized crystal structure of YFeAgSb, as listed in the Open Quantum Materials Database.

Cell and atoms, written as extended XYZ:
```
16
Lattice="6.925 0.000 0.000 0.000 6.925 0.000 0.000 0.000 6.925" Properties=species:S:1:pos:R:3 pbc="T T T"
Y 0.000 0.000 0.000
Y 0.000 3.463 3.463
Y 3.463 0.000 3.463
Y 3.463 3.463 0.000
Fe 0.000 0.000 3.463
Fe 0.000 3.463 0.000
Fe 3.463 0.000 0.000
Fe 3.463 3.463 3.463
Ag 1.731 1.731 5.194
Ag 1.731 5.194 1.731
Ag 5.194 1.731 1.731
Ag 5.194 5.194 5.194
Sb 1.731 1.731 1.731
Sb 1.731 5.194 5.194
Sb 5.194 1.731 5.194
Sb 5.194 5.194 1.731
```

Summary:
Symmetry ... F-43m

***

Entry x
First-principles (PBE) data for an optimized crystal structure of YFeAgSb, as listed in the Open Quantum Materials Database.

Cell and atoms, written as extended XYZ:
```
16
Lattice="6.822 0.000 0.000 0.000 6.822 0.000 0.000 0.000 6.822" Properties=species:S:1:pos:R:3 pbc="T T T"
Y 0.000 0.000 0.000
Y 0.000 3.411 3.411
Y 3.411 0.000 3.411
Y 3.411 3.411 0.000
Fe 1.706 1.706 5.117
Fe 1.706 5.117 1.706
Fe 5.117 1.706 1.706
Fe 5.117 5.117 5.117
Ag 1.706 1.706 1.706
Ag 1.706 5.117 5.117
Ag 5.117 1.706 5.117
Ag 5.117 5.117 1.706
Sb 0.000 0.000 3.411
Sb 0.000 3.411 0.000
Sb 3.411 0.000 0.000
Sb 3.411 3.411 3.411
```

Summary:
Symmetry ... F-43m

***

Ranked by calculated energy, most stable first: entry w, entry x.

***

Entry w
First-principles (PBE) data for an optimized crystal structure of ScFeSiAg, as listed in the Open Quantum Materials Database.

Cell and atoms, written as extended XYZ:
```
16
Lattice="6.247 0.000 0.000 0.000 6.247 0.000 0.000 0.000 6.247" Properties=species:S:1:pos:R:3 pbc="T T T"
Sc 0.000 0.000 0.000
Sc 0.000 3.124 3.124
Sc 3.124 0.000 3.124
Sc 3.124 3.124 0.000
Fe 1.562 1.562 4.686
Fe 1.562 4.686 1.562
Fe 4.686 1.562 1.562
Fe 4.686 4.686 4.686
Si 0.000 0.000 3.124
Si 0.000 3.124 0.000
Si 3.124 0.000 0.000
Si 3.124 3.124 3.124
Ag 1.562 1.562 1.562
Ag 1.562 4.686 4.686
Ag 4.686 1.562 4.686
Ag 4.686 4.686 1.562
```

Summary:
Symmetry ... F-43m

***

Entry x
First-principles (PBE) data for an optimized crystal structure of ScFeSiAg, as listed in the Open Quantum Materials Database.

Cell and atoms, written as extended XYZ:
```
16
Lattice="6.335 0.000 0.000 0.000 6.335 0.000 0.000 0.000 6.335" Properties=species:S:1:pos:R:3 pbc="T T T"
Sc 0.000 0.000 0.000
Sc 0.000 3.167 3.167
Sc 3.167 0.000 3.167
Sc 3.167 3.167 0.000
Fe 0.000 0.000 3.167
Fe 0.000 3.167 0.000
Fe 3.167 0.000 0.000
Fe 3.167 3.167 3.167
Si 1.584 1.584 1.584
Si 1.584 4.751 4.751
Si 4.751 1.584 4.751
Si 4.751 4.751 1.584
Ag 1.584 1.584 4.751
Ag 1.584 4.751 1.584
Ag 4.751 1.584 1.584
Ag 4.751 4.751 4.751
```

Summary:
Symmetry ... F-43m

***

Ranked by calculated energy, most stable first: entry x, entry w.